TlCuHg2 | SCAN | single point on PBEsol structure

```
data_TlCuHg2
_chemical_formula_sum 'Tl2 Cu2 Hg4'
_symmetry_space_group_name_H-M 'I m m m'
_symmetry_Int_Tables_number 71
_symmetry_space_group_name_Hall '-I 2 2'
_cell_length_a 3.100
_cell_length_b 4.716
_cell_length_c 11.521
_cell_angle_alpha 90.00
_cell_angle_beta 90.00
_cell_angle_gamma 90.00
loop_
_atom_site_label
_atom_site_type_symbol
_atom_site_fract_x
_atom_site_fract_y
_atom_site_fract_z
Tl1 Tl 0.000 0.000 0.000
Cu1 Cu 0.000 0.000 0.500
Hg1 Hg 0.000 0.500 0.197
```

For the size of the total moment, the calculation gives 0.00 μB per atom. For the formation energy, the calculation gives 16.16 kJ/mol of atoms. As for the energy: -446.4 eV per cell.

---

MgTl4 | SCAN | single point on PBEsol structure

```
data_MgTl4
_chemical_formula_sum 'Mg2 Tl8'
_symmetry_space_group_name_H-M 'P -4 21 c'
_symmetry_Int_Tables_number 114
_cell_length_a 6.435
_cell_length_b 6.435
_cell_length_c 6.635
_cell_angle_alpha 90.00
_cell_angle_beta 90.00
_cell_angle_gamma 90.00
loop_
_symmetry_equiv_pos_as_xyz
'x,y,z'
'y,-x,-z'
'-x,-y,z'
'-y,x,-z'
'x+1/2,-y+1/2,-z+1/2'
'y+1/2,x+1/2,z+1/2'
'-x+1/2,y+1/2,-z+1/2'
'-y+1/2,-x+1/2,z+1/2'
loop_
_atom_site_label
_atom_site_type_symbol
_atom_site_fract_x
_atom_site_fract_y
_atom_site_fract_z
Mg1 Mg 0.000 0.000 0.000
Tl1 Tl 0.112 0.277 0.355
```

For the size of the total moment, the calculation gives 0.00 μB per atom. For the formation energy, the calculation gives -1.23 kJ/mol of atoms. The energy relative to the lowest polymorph listed for this composition is 0.000 eV/atom. As for the energy: -588.9 eV per cell.

---

K2PtAu | SCAN | single point on PBEsol structure

```
data_K2PtAu
_chemical_formula_sum 'K4 Pt2 Au2'
_symmetry_space_group_name_H-M 'I 4/m m m'
_symmetry_Int_Tables_number 139
_symmetry_space_group_name_Hall '-I 4 2'
_cell_length_a 4.223
_cell_length_b 4.223
_cell_length_c 9.845
_cell_angle_alpha 90.00
_cell_angle_beta 90.00
_cell_angle_gamma 90.00
loop_
_atom_site_label
_atom_site_type_symbol
_atom_site_fract_x
_atom_site_fract_y
_atom_site_fract_z
K1 K 0.000 0.500 0.250
Pt1 Pt 0.000 0.000 0.000
Au1 Au 0.000 0.000 0.500
```

For the size of the total moment, the calculation gives 0.00 μB per atom. For the formation energy, the calculation gives 0.87 kJ/mol of atoms. The energy relative to the lowest polymorph listed for this composition is 0.028 eV/atom. As for the energy: -311.9 eV per cell.

---

As2RhAu | SCAN | single point on PBEsol structure

```
data_As2RhAu
_chemical_formula_sum 'As2 Rh1 Au1'
_symmetry_space_group_name_H-M 'P 4 m m'
_symmetry_Int_Tables_number 99
_cell_length_a 3.470
_cell_length_b 3.470
_cell_length_c 5.618
_cell_angle_alpha 90.00
_cell_angle_beta 90.00
_cell_angle_gamma 90.00
loop_
_symmetry_equiv_pos_as_xyz
'x,y,z'
'-y,x,z'
'-x,-y,z'
'y,-x,z'
'-x,y,z'
'y,x,z'
'x,-y,z'
'-y,-x,z'
loop_
_atom_site_label
_atom_site_type_symbol
_atom_site_fract_x
_atom_site_fract_y
_atom_site_fract_z
As1 As 0.000 0.000 0.000
As2 As 0.500 0.500 0.380
Rh1 Rh 0.500 0.500 0.838
Au1 Au 0.000 0.000 0.546
```

For the size of the total moment, the calculation gives 0.00 μB per atom. For the formation energy, the calculation gives -3.77 kJ/mol of atoms. As for the energy: -143.5 eV per cell.

---

HfZn3Re | SCAN | single point on PBEsol structure

```
data_HfZn3Re
_chemical_formula_sum 'Hf1 Zn3 Re1'
_symmetry_space_group_name_H-M 'P m -3 m'
_symmetry_Int_Tables_number 221
_symmetry_space_group_name_Hall '-P 4 2 3'
_cell_length_a 4.850
_cell_length_b 4.850
_cell_length_c 4.850
_cell_angle_alpha 90.00
_cell_angle_beta 90.00
_cell_angle_gamma 90.00
loop_
_atom_site_label
_atom_site_type_symbol
_atom_site_fract_x
_atom_site_fract_y
_atom_site_fract_z
Hf1 Hf 0.000 0.000 0.000
Zn1 Zn 0.000 0.000 0.500
Re1 Re 0.500 0.500 0.500
```

For the size of the total moment, the calculation gives 0.42 μB per atom. For the formation energy, the calculation gives 199.85 kJ/mol of atoms. The energy relative to the lowest polymorph listed for this composition is 1.150 eV/atom. As for the energy: -164.0 eV per cell.

---

Hg2H8C2NCl5 | SCAN | single point on PBEsol structure

```
data_Hg2H8C2NCl5
_chemical_formula_sum 'Hg8 H32 C8 N4 Cl20'
_symmetry_space_group_name_H-M 'P 1 21/c 1'
_symmetry_Int_Tables_number 14
_cell_length_a 10.399
_cell_length_b 6.978
_cell_length_c 16.767
_cell_angle_alpha 90.00
_cell_angle_beta 112.52
_cell_angle_gamma 90.00
loop_
_symmetry_equiv_pos_as_xyz
'x,y,z'
'-x,-y,-z'
'-x,y+1/2,-z+1/2'
'x,-y+1/2,z+1/2'
loop_
_atom_site_label
_atom_site_type_symbol
_atom_site_fract_x
_atom_site_fract_y
_atom_site_fract_z
Hg1 Hg 0.000 0.110 0.147
Hg2 Hg 0.163 0.620 0.095
H1 H 0.296 0.092 0.387
H2 H 0.300 0.179 0.937
H3 H 0.302 0.149 0.795
H4 H 0.421 0.593 0.398
H5 H 0.422 0.550 0.569
H6 H 0.449 0.216 0.324
H7 H 0.456 0.178 0.468
H8 H 0.496 0.049 0.176
C1 C 0.359 0.220 0.414
C2 C 0.481 0.011 0.877
N1 N 0.395 0.186 0.847
Cl1 Cl 0.065 0.242 0.484
Cl2 Cl 0.095 0.047 0.730
Cl3 Cl 0.223 0.538 0.702
Cl4 Cl 0.225 0.723 0.444
Cl5 Cl 0.390 0.012 0.651
```

For the size of the total moment, the calculation gives 0.00 μB per atom. As for the energy: -967.5 eV per cell.

---

SrMnTl2 | SCAN | single point on PBEsol structure

```
data_SrMnTl2
_chemical_formula_sum 'Sr4 Mn4 Tl8'
_symmetry_space_group_name_H-M 'F -4 3 m'
_symmetry_Int_Tables_number 216
_symmetry_space_group_name_Hall 'F -4 2 3'
_cell_length_a 7.478
_cell_length_b 7.478
_cell_length_c 7.478
_cell_angle_alpha 90.00
_cell_angle_beta 90.00
_cell_angle_gamma 90.00
loop_
_atom_site_label
_atom_site_type_symbol
_atom_site_fract_x
_atom_site_fract_y
_atom_site_fract_z
Sr1 Sr 0.000 0.000 0.000
Mn1 Mn 0.250 0.250 0.750
Tl1 Tl 0.000 0.000 0.500
Tl2 Tl 0.250 0.250 0.250
```

For the size of the total moment, the calculation gives 1.21 μB per atom. For the formation energy, the calculation gives -1.00 kJ/mol of atoms. As for the energy: -741.2 eV per cell.

---

In3Ir | SCAN | single point on PBEsol structure

```
data_In3Ir
_chemical_formula_sum 'In3 Ir1'
_symmetry_space_group_name_H-M 'P m -3 m'
_symmetry_Int_Tables_number 221
_symmetry_space_group_name_Hall '-P 4 2 3'
_cell_length_a 5.117
_cell_length_b 5.117
_cell_length_c 5.117
_cell_angle_alpha 90.00
_cell_angle_beta 90.00
_cell_angle_gamma 90.00
loop_
_atom_site_label
_atom_site_type_symbol
_atom_site_fract_x
_atom_site_fract_y
_atom_site_fract_z
In1 In 0.000 0.000 0.500
Ir1 Ir 0.000 0.000 0.000
```

For the size of the total moment, the calculation gives 0.00 μB per atom. For the formation energy, the calculation gives -24.46 kJ/mol of atoms. As for the energy: -172.3 eV per cell.